Record 1
# LiMn2CuS

A relaxed LiMn2CuS crystal (PBE-GGA, Alexandria).

For the uncorrected formation energy, the calculation gives 0.598 eV per atom. The magnetization is 1.722 μB/atom.

The structure belongs to space group P4/mmm (No. 123); the cell edges are 4.697, 4.697 and 4.517 Å and the angles 90.00°, 90.00° and 90.00°. The inequivalent atoms are Li at (0.000, 0.000, 0.000), Mn at (0.000, 0.500, 0.500), Cu at (0.500, 0.500, 0.500) and S at (0.500, 0.500, 0.000).

=====

Record 2
# CaPa4Ge5

A relaxed CaPa4Ge5 crystal (PBE-GGA, Alexandria).

The magnetization is 0.000 μB/atom. As for the formation energy: -0.42 eV per atom.

The structure belongs to space group Immm (No. 71); the cell edges are 4.169, 5.861 and 20.887 Å and the angles 90.00°, 90.00° and 90.00°. The inequivalent atoms are Ca at (0.000, 0.000, 0.000), Pa at (0.000, 0.000, 0.201), Pa at (0.000, 0.000, 0.401), Ge at (0.000, 0.500, 0.000), Ge at (0.000, 0.500, 0.198) and Ge at (0.000, 0.500, 0.393).

=====

Record 3
# CdAgIr2

A relaxed CdAgIr2 crystal (PBE-GGA, Alexandria).

The magnetization is 0.000 μB/atom. As for the formation energy: 0.32 eV per atom.

The structure belongs to space group Immm (No. 71); the cell edges are 2.846, 4.771 and 9.718 Å and the angles 90.00°, 90.00° and 90.00°. The inequivalent atoms are Cd at (0.000, 0.000, 0.000), Ag at (0.000, 0.000, 0.500) and Ir at (0.000, 0.500, 0.251).

=====

Record 4
# BaNaRu3

A relaxed BaNaRu3 crystal (PBE-GGA, Alexandria).

Its energy relative to the lowest polymorph listed for this composition is 427 meV per atom. The magnetization is 0.896 μB/atom. As for the formation energy: 2.33 eV per atom.

The structure belongs to space group Pm-3m (No. 221); the cell edges are 5.154, 5.154 and 5.154 Å and the angles 90.00°, 90.00° and 90.00°. The inequivalent atoms are Ba at (0.000, 0.000, 0.000), Na at (0.500, 0.500, 0.500) and Ru at (0.000, 0.000, 0.500).